No. 1
This record from Alexandria via LeMat-Bulk describes a relaxed structure of Ba2HoMg12Cd3. The functional is GGA-PBE.

Properties
The value obtained for the formation energy is 3.14 eV/f.u.

a = 9.8654 Å, b = 9.8654 Å, c = 9.8654 Å
α = 53.30°, β = 53.30°, γ = 53.30°
Element x y z (fractional)
Mg (0.2150, 0.2150, 0.8698)
Mg (0.8283, 0.8283, 0.4518)
Mg (0.8283, 0.4518, 0.8283)
Mg (0.4518, 0.8283, 0.8283)
Mg (0.7850, 0.1302, 0.7850)
Cd (0.0000, 0.0000, 0.5000)
Mg (0.8698, 0.2150, 0.2150)
Ba (0.5823, 0.5823, 0.5823)
Mg (0.7850, 0.7850, 0.1302)
Mg (0.5482, 0.1717, 0.1717)
Mg (0.1717, 0.1717, 0.5482)
Mg (0.2150, 0.8698, 0.2150)
Cd (0.5000, 0.0000, 0.0000)
Ba (0.4177, 0.4177, 0.4177)
Mg (0.1717, 0.5482, 0.1717)
Mg (0.1302, 0.7850, 0.7850)
Cd (0.0000, 0.5000, 0.0000)
Ho (0.0000, 0.0000, 0.0000)



No. 2
This record from Alexandria via LeMat-Bulk describes a relaxed structure of BaHoTlCd. The functional is GGA-PBE.

Properties
The value obtained for the formation energy is -0.90 eV/f.u.

a = 5.6866 Å, b = 5.6866 Å, c = 5.6866 Å
α = 60.00°, β = 60.00°, γ = 60.00°
Element x y z (fractional)
Cd (0.2500, 0.2500, 0.2500)
Tl (0.7500, 0.7500, 0.7500)
Ba (0.5000, 0.5000, 0.5000)
Ho (0.0000, 0.0000, 0.0000)



No. 3
This record from Alexandria via LeMat-Bulk describes a relaxed structure of BaCdI3. The functional is GGA-PBE.

Properties
As for the uncorrected formation energy: -0.77 eV per atom.

a = 6.7726 Å, b = 6.7726 Å, c = 6.7726 Å
α = 90.00°, β = 90.00°, γ = 90.00°
Element x y z (fractional)
Cd (0.5000, 0.5000, 0.5000)
I (0.5000, 0.0000, 0.0000)
I (0.0000, 0.5000, 0.0000)
I (0.0000, 0.0000, 0.5000)
Ba (0.0000, 0.0000, 0.0000)



No. 4
This record from Alexandria via LeMat-Bulk describes a relaxed structure of BaCdI4. The functional is GGA-PBE.

Properties
As for the uncorrected formation energy: -1.16 eV per atom.

a = 9.3494 Å, b = 9.3497 Å, c = 9.3495 Å
α = 74.10°, β = 74.10°, γ = 116.87°
Element x y z (fractional)
Cd (0.3750, 0.1250, 0.2500)
Ba (0.8750, 0.6250, 0.2500)
I (0.3852, 0.3200, 0.4348)
I (0.8200, 0.2548, 0.5652)
I (0.8200, 0.8852, 0.9348)
Ba (0.1250, 0.3750, 0.7500)
I (0.1800, 0.1148, 0.0652)
I (0.6148, 0.6800, 0.5652)
Cd (0.6250, 0.8750, 0.7500)
I (0.7548, 0.3200, 0.0652)
I (0.2452, 0.6800, 0.9348)
I (0.1800, 0.7452, 0.4348)



No. 5
This record from Alexandria via LeMat-Bulk describes a relaxed structure of Ba2CdI. The functional is GGA-PBE.

Properties
As for the uncorrected formation energy: -0.77 eV per atom.

a = 4.8151 Å, b = 4.8151 Å, c = 9.6248 Å
α = 75.51°, β = 75.51°, γ = 60.00°
Element x y z (fractional)
I (0.5000, 0.5000, 0.5000)
Ba (0.2551, 0.2551, 0.2348)
Ba (0.7449, 0.7449, 0.7652)
Cd (0.0000, 0.0000, 0.0000)



No. 6
This record from Alexandria via LeMat-Bulk describes a relaxed structure of BaCd2I. The functional is GGA-PBE.

Properties
As for the uncorrected formation energy: -0.45 eV per atom.

a = 9.7510 Å, b = 9.7510 Å, c = 7.6763 Å
α = 50.57°, β = 50.57°, γ = 90.00°
Element x y z (fractional)
Cd (0.6160, 0.1250, 0.2500)
Cd (0.3750, 0.3840, 0.7500)
I (0.5000, 0.5000, 0.0000)
Ba (0.7500, 0.2500, 0.5000)
Ba (0.0000, 0.0000, 0.0000)
Cd (0.8750, 0.8660, 0.7500)
Cd (0.1340, 0.6250, 0.2500)
I (0.2500, 0.7500, 0.5000)